No. 1
This record from Alexandria via LeMat-Bulk describes a relaxed structure of Cs2Sr2TeO6. The functional is PBE.

Calculated values
N(E_F): 0.000 states/eV per atom
Formation energy (no corrections): -1.904 eV per atom
Calculated density: 4.76 g/cm3

Unit cell a=6.161 b=6.161 c=7.240 alpha=98.02 beta=98.02 gamma=118.62
Positions (direct):
Cs (0.169, 0.831, 0.000)
Cs (0.831, 0.169, 0.000)
Sr (0.336, 0.664, 0.500)
Sr (0.664, 0.336, 0.500)
Te (0.000, 0.000, 0.500)
O (0.048, 0.319, 0.657)
O (0.209, 0.209, 0.336)
O (0.319, 0.048, 0.657)
O (0.681, 0.952, 0.343)
O (0.791, 0.791, 0.664)
O (0.952, 0.681, 0.343)

No. 2
This record from Alexandria via LeMat-Bulk describes a relaxed structure of EuDyAgSb. The functional is PBE.

Calculated values
N(E_F): 0.765 states/eV per atom
Formation energy (no corrections): -0.588 eV per atom
Calculated density: 8.44 g/cm3

Unit cell a=5.329 b=5.329 c=5.329 alpha=60.00 beta=60.00 gamma=60.00
Positions (direct):
Eu (0.000, 0.000, 0.000)
Dy (0.500, 0.500, 0.500)
Ag (0.250, 0.250, 0.250)
Sb (0.750, 0.750, 0.750)

No. 3
This record from Alexandria via LeMat-Bulk describes a relaxed structure of TbSmZnTc. The functional is PBE.

Calculated values
DFT total energy: -5.345 eV/atom
N(E_F): 0.434 states/eV per atom
Calculated density: 8.95 g/cm3

Unit cell a=4.986 b=4.986 c=4.986 alpha=60.00 beta=60.00 gamma=60.00
Positions (direct):
Tb (0.000, 0.000, 0.000)
Sm (0.500, 0.500, 0.500)
Zn (0.750, 0.750, 0.750)
Tc (0.250, 0.250, 0.250)

no.,total magnetic moment (μB/f.u.)
1,0.0
2,7.9
3,0.0